Here is a relaxed structure of CaRe from the Alexandria database. Energies are from PBE-GGA.

ΔE_f   0.68 eV/f.u.
Symmetry   P6_3/mmc (194)
Crystal system   hexagonal

Cell: 4.236 4.236 15.941 Å, 90.00 90.00 120.00°
Element x y z (fractional)
Ca 0.667 0.333 0.619
Ca 0.333 0.667 0.119
Ca 0.333 0.667 0.381
Ca 0.667 0.333 0.881
Re 0.667 0.333 0.250
Re 0.333 0.667 0.750
Re 0.000 0.000 0.250
Re 0.000 0.000 0.750


Here is a relaxed structure of In2SiRh from the Alexandria database. Energies are from PBE-GGA.

Raw formation energy   0.1572 eV/atom
Symmetry   P4/mmm (123)
Crystal system   tetragonal

Cell: 4.831 4.831 3.211 Å, 90.00 90.00 90.00°
Element x y z (fractional)
Rh 0.500 0.000 0.500
In 0.500 0.500 0.000
In 0.000 0.000 0.000
Si 0.000 0.500 0.500


Here is a relaxed structure of Cs3NaMo2S8 from the Alexandria database. Energies are from PBE-GGA.

Raw formation energy   -0.9464 eV/atom
Symmetry   P-3m1 (164)
Crystal system   trigonal

Cell: 7.413 7.413 9.926 Å, 90.00 90.00 120.00°
Element x y z (fractional)
S 0.667 0.333 0.985
S 0.171 0.829 0.309
S 0.657 0.829 0.309
S 0.343 0.171 0.691
S 0.333 0.667 0.015
S 0.829 0.171 0.691
S 0.829 0.657 0.691
S 0.171 0.343 0.309
Cs 0.333 0.667 0.652
Cs 0.667 0.333 0.348
Cs 0.000 0.000 0.000
Na 0.000 0.000 0.500
Mo 0.333 0.667 0.234
Mo 0.667 0.333 0.766


Here is a relaxed structure of TbDy4Y3S8 from the Alexandria database. Energies are from PBE-GGA.

Raw formation energy   -1.9921 eV/atom
Symmetry   R-3m (166)
Crystal system   trigonal

Cell: 7.826 7.828 7.826 Å, 119.99 120.00 90.00°
Element x y z (fractional)
S 0.749 0.248 0.999
S 0.750 0.752 0.001
S 0.250 0.248 0.999
S 0.250 0.249 0.499
S 0.749 0.248 0.498
S 0.251 0.752 0.001
S 0.251 0.752 0.502
S 0.750 0.751 0.501
Dy 0.000 0.000 0.000
Dy 0.000 0.000 0.500
Dy 0.500 0.000 0.500
Dy 0.500 0.000 0.000
Y 0.500 0.500 0.500
Y 0.500 0.500 0.000
Y 0.000 0.500 0.500
Tb 0.000 0.500 0.000


Here is a relaxed structure of Hf4As2N from the Alexandria database. Energies are from PBE-GGA.

Raw formation energy   -0.7892 eV/atom
Symmetry   I4/mmm (139)
Crystal system   tetragonal

Cell: 4.210 4.210 7.691 Å, 74.12 74.12 90.00°
Element x y z (fractional)
N 0.000 0.000 0.000
As 0.359 0.359 0.282
As 0.641 0.641 0.718
Hf 0.500 0.000 0.000
Hf 0.169 0.169 0.663
Hf 0.831 0.831 0.337
Hf 0.000 0.500 0.000


Here is a relaxed structure of ZrVNi2 from the Alexandria database. Energies are from PBE-GGA.

ΔE_f   -0.70 eV/f.u.
Symmetry   P4/mmm (123)
Crystal system   tetragonal

Cell: 2.996 2.996 6.411 Å, 90.00 90.00 90.00°
Element x y z (fractional)
Ni 0.000 0.000 0.699
Ni 0.000 0.000 0.301
V 0.500 0.500 0.500
Zr 0.500 0.500 0.000


Here is a relaxed structure of ThU4Ga15 from the Alexandria database. Energies are from PBE-GGA.

ΔE_f   -5.61 eV/f.u.
Symmetry   P4/mmm (123)
Crystal system   tetragonal

Cell: 4.300 4.300 21.586 Å, 90.00 90.00 90.00°
Element x y z (fractional)
Ga 0.500 0.000 0.500
Ga 0.500 0.500 0.204
Ga 0.500 0.000 0.893
Ga 0.000 0.500 0.107
Ga 0.500 0.000 0.107
Ga 0.500 0.000 0.303
Ga 0.000 0.500 0.303
Ga 0.500 0.500 0.599
Ga 0.000 0.500 0.697
Ga 0.000 0.500 0.893
Ga 0.500 0.500 0.796
Ga 0.500 0.500 0.401
Ga 0.500 0.000 0.697
Ga 0.000 0.500 0.500
Ga 0.500 0.500 0.000
U 0.000 0.000 0.599
U 0.000 0.000 0.401
U 0.000 0.000 0.204
U 0.000 0.000 0.796
Th 0.000 0.000 0.000


Here is a relaxed structure of In2FeSiI from the Alexandria database. Energies are from PBE-GGA.

Raw formation energy   0.0749 eV/atom
Symmetry   P4/mmm (123)
Crystal system   tetragonal

Cell: 5.418 5.418 4.497 Å, 90.00 90.00 90.00°
Element x y z (fractional)
Fe 0.000 0.000 0.000
I 0.500 0.500 0.500
Si 0.000 0.000 0.500
In 0.500 0.000 0.000
In 0.000 0.500 0.000


Here is a relaxed structure of KAsIF2 from the Alexandria database. Energies are from PBE-GGA.

Raw formation energy   -1.3288 eV/atom
Symmetry   P4/mmm (123)
Crystal system   tetragonal

Cell: 4.524 6.123 4.524 Å, 90.00 90.00 90.00°
Element x y z (fractional)
F 0.500 0.000 0.000
F 0.000 0.000 0.500
K 0.500 0.500 0.500
As 0.000 0.000 0.000
I 0.000 0.500 0.000


Here is a relaxed structure of Na2BRh2 from the Alexandria database. Energies are from PBE-GGA.

ΔE_f   -0.17 eV/f.u.
Symmetry   P4/mbm (127)
Crystal system   tetragonal

Cell: 5.623 5.623 4.993 Å, 90.00 90.00 90.00°
Element x y z (fractional)
Rh 0.164 0.336 0.000
Rh 0.836 0.664 0.000
Rh 0.664 0.164 0.000
Rh 0.336 0.836 0.000
Na 0.327 0.173 0.500
Na 0.673 0.827 0.500
Na 0.827 0.327 0.500
Na 0.173 0.673 0.500
B 0.500 0.500 0.000
B 0.000 0.000 0.000


Here is a relaxed structure of SiTc2Sn from the Alexandria database. Energies are from PBE-GGA.

Raw formation energy   0.0179 eV/atom
Symmetry   Fm-3m (225)
Crystal system   cubic

Cell: 4.425 4.425 4.425 Å, 60.00 60.00 60.00°
Element x y z (fractional)
Tc 0.250 0.250 0.250
Tc 0.750 0.750 0.750
Sn 0.500 0.500 0.500
Si 0.000 0.000 0.000


Here is a relaxed structure of LaH2I from the Alexandria database. Energies are from PBE-GGA.

Energy   -4.00 eV per atom
Symmetry   I4_1/amd (141)
Crystal system   tetragonal

Cell: 4.937 4.937 7.958 Å, 71.93 71.93 90.00°
Element x y z (fractional)
La 0.750 0.250 0.500
La 0.000 0.000 0.000
I 0.500 0.500 0.000
I 0.250 0.750 0.500
H 0.375 0.125 0.750
H 0.875 0.125 0.750
H 0.875 0.625 0.250
H 0.875 0.125 0.250